# Li2Zn3Cu8 PBE-GGA relaxed
# Total moment ... 0.00 μB/f.u.
# D(E_F) ... 0.461 states/eV/atom
# E_form ... 0.078 eV per atom
# Final energy ... -3.031 eV/atom
data_Li2Zn3Cu8
_chemical_formula_sum 'Li6 Zn9 Cu24'
_space_group_name_H-M_alt 'R -3 m'
_space_group_IT_number 166
_space_group_name_Hall '-R 3 2"'
_cell_length_a 4.8027
_cell_length_b 4.8027
_cell_length_c 27.4094
_cell_angle_alpha 90.00
_cell_angle_beta 90.00
_cell_angle_gamma 120.00
loop_
_atom_site_label
_atom_site_fract_x
_atom_site_fract_y
_atom_site_fract_z
Li1 0.0000 0.0000 0.1416
Zn1 0.0000 0.0000 0.3189
Zn2 0.0000 0.0000 0.5000
Cu1 0.0000 0.0000 0.2300
Cu2 0.0011 0.5005 0.2681

---

# Li3Ac3TlIn2 PBE-GGA relaxed
# Total moment ... 0.00 μB/f.u.
# D(E_F) ... 1.141 states/eV/atom
# E_form ... -0.299 eV per atom
# Final energy ... -3.177 eV/atom
data_Li3Ac3TlIn2
_chemical_formula_sum 'Li3 Ac3 Tl1 In2'
_space_group_name_H-M_alt 'P -6 2 m'
_space_group_IT_number 189
_space_group_name_Hall 'P -6 -2'
_cell_length_a 7.8419
_cell_length_b 7.8419
_cell_length_c 5.1209
_cell_angle_alpha 90.00
_cell_angle_beta 90.00
_cell_angle_gamma 120.00
loop_
_atom_site_label
_atom_site_fract_x
_atom_site_fract_y
_atom_site_fract_z
Li1 0.0000 0.2248 0.0000
Ac1 0.0000 0.5726 0.5000
Tl1 0.0000 0.0000 0.5000
In1 0.3333 0.6667 0.0000

---

> What is the formula in the second record?

Li3Ac3TlIn2